BaIn2Ru: optimized geometry, GGA-PBE.

* D(E_F): 1.095 states/eV per atom
* calculated formation energy: 1.151 eV per formula unit
* size of the total moment: 0.00 μB per cell

```
data_BaIn2Ru
_chemical_formula_sum 'Ba1 In2 Ru1'
_cell_length_a 5.4754
_cell_length_b 5.4754
_cell_length_c 5.4754
_cell_angle_alpha 127.20
_cell_angle_beta 127.20
_cell_angle_gamma 77.93
_symmetry_space_group_name_H-M 'P 1'
_symmetry_Int_Tables_number 1
loop_
_symmetry_equiv_pos_as_xyz
'x,y,z'
loop_
_atom_site_label
_atom_site_type_symbol
_atom_site_fract_x
_atom_site_fract_y
_atom_site_fract_z
Ba1 Ba 0.0000 0.0000 0.0000
In1 In 0.2500 0.7500 0.5000
In2 In 0.7500 0.2500 0.5000
Ru1 Ru 0.5000 0.5000 0.0000
```